<one>
A plane-wave DFT calculation with GGA-PBEsol was carried out for a relaxed structure of CuNiOs2.

Calculated values
Crystal system: orthorhombic
Size of the total moment (μB/atom): 0.0008
Calculated density (Mg/m³): 16.2

a = 2.718 Å, b = 4.332 Å, c = 4.384 Å
α = 90.00°, β = 90.00°, γ = 90.00°
Element x y z (fractional)
Cu: 0.500 0.500 0.000
Ni: 0.000 0.500 0.500
Os: 0.000 0.000 0.000
Os: 0.500 0.000 0.500

***

<two>
A plane-wave DFT calculation with GGA-PBEsol was carried out for a relaxed structure of CuNiOs2.

Calculated values
Crystal system: trigonal
Size of the total moment (μB/atom): 0.0023
Calculated density (Mg/m³): 16.5

a = 2.637 Å, b = 2.637 Å, c = 8.558 Å
α = 81.14°, β = 81.14°, γ = 60.00°
Element x y z (fractional)
Cu: 0.500 0.500 0.500
Ni: 0.000 0.000 0.000
Os: 0.252 0.252 0.244
Os: 0.748 0.748 0.756

***

Which one is the least stable? From the structures above, <one>.